Material: YZrRe2O
Method: DFT, PBE
State: optimized geometry

Calculated values
The mass density comes out at 7.59 g/cm³. As for the density of states at the Fermi level: 5.1 states/eV/f.u. The calculation puts the spin magnetization at 2.9 μB/cell. The calculation puts the volume at 24.9 Å³ per atom. Its formation energy without anion corrections is 2.91 eV/atom.

Cell lengths 4.7727, 5.4591, 4.7727 Å; angles 90.00, 90.00, 90.00 degrees
Last column: nearest neighbours and their distance in Å.
Fractional positions:
Y: 0.0000 0.0000 0.0000  4 Re 2.39
Re: 0.5000 0.0000 0.0000  2 Y 2.39
Re: 0.0000 0.0000 0.5000  2 Y 2.39
Zr: 0.0000 0.5000 0.0000  2 Y 2.73
O: 0.5000 0.5000 0.5000  4 Zr 3.37, 8 Re 3.63